Entry 1:
Density functional theory data (SCAN) for SrLiTa3 at its PBEsol-relaxed geometry.

Output
D(E_F): 5.28 states/eV per cell
Calculated formation energy: 3044 meV per atom
Space group: No. 221

Lattice parameters (Å, degrees): 4.855 4.855 4.855 90.00 90.00 90.00
Positions (direct):
1 Sr 0.000 0.000 0.000
2 Li 0.500 0.500 0.500
3 Ta 0.000 0.000 0.500
4 Ta 0.000 0.500 0.000
5 Ta 0.500 0.000 0.000

=====

Entry 2:
Density functional theory data (SCAN) for SrLiTa2 at its PBEsol-relaxed geometry.

Output
D(E_F): 2.46 states/eV per cell
Calculated formation energy: 514 meV per atom
Space group: No. 99
Distance to the lowest polymorph of the same formula: 0.0 meV per atom

Lattice parameters (Å, degrees): 3.503 3.503 7.719 90.00 90.00 90.00
Positions (direct):
1 Sr 0.000 0.000 0.000
2 Li 0.500 0.500 0.663
3 Ta 0.000 0.000 0.443
4 Ta 0.500 0.500 0.304

=====

Entry 3:
Density functional theory data (SCAN) for SrLi2Ta at its PBEsol-relaxed geometry.

Output
D(E_F): 2.84 states/eV per cell
Calculated formation energy: 811 meV per atom
Space group: No. 12

Lattice parameters (Å, degrees): 6.030 6.030 2.831 100.30 100.30 116.09
Positions (direct):
1 Sr 0.000 0.000 0.000
2 Li 0.000 0.500 0.500
3 Li 0.500 0.000 0.500
4 Ta 0.500 0.500 0.000

=====

Entry 4:
Density functional theory data (SCAN) for Sr2LiTa at its PBEsol-relaxed geometry.

Output
D(E_F): 4.59 states/eV per cell
Calculated formation energy: 972 meV per atom
Space group: No. 25
Distance to the lowest polymorph of the same formula: 0.0 meV per atom

Lattice parameters (Å, degrees): 3.166 5.260 6.709 90.00 90.00 90.00
Positions (direct):
1 Sr 0.000 0.000 0.000
2 Sr 0.500 0.500 0.337
3 Li 0.500 0.500 0.760
4 Ta 0.000 0.000 0.527

=====

Entry 5:
Density functional theory data (SCAN) for SrLiTa2 at its PBEsol-relaxed geometry.

Output
D(E_F): 3.25 states/eV per cell
Calculated formation energy: 719 meV per atom
Space group: No. 8
Distance to the lowest polymorph of the same formula: 205.1 meV per atom

Lattice parameters (Å, degrees): 4.978 4.978 6.422 93.86 93.86 34.20
Positions (direct):
1 Sr 0.000 0.000 0.000
2 Li 0.758 0.758 0.282
3 Ta 0.241 0.241 0.658
4 Ta 0.504 0.504 0.532

=====

Entry 6:
Density functional theory data (SCAN) for SrLi2Tc at its PBEsol-relaxed geometry.

Output
D(E_F): 2.54 states/eV per cell
Calculated formation energy: 652 meV per atom
Space group: No. 71
Distance to the lowest polymorph of the same formula: 56.8 meV per atom

Lattice parameters (Å, degrees): 6.378 6.378 6.378 154.19 130.56 56.60
Positions (direct):
1 Sr 0.000 0.000 0.000
2 Li 0.292 0.792 0.500
3 Li 0.708 0.208 0.500
4 Tc 0.500 0.500 0.000

=====

Entry 7:
Density functional theory data (SCAN) for SrLi2Tc at its PBEsol-relaxed geometry.

Output
D(E_F): 2.44 states/eV per cell
Calculated formation energy: 595 meV per atom
Space group: No. 99
Distance to the lowest polymorph of the same formula: 0.0 meV per atom

Lattice parameters (Å, degrees): 3.304 3.304 7.817 90.00 90.00 90.00
Positions (direct):
1 Sr 0.000 0.000 0.000
2 Li 0.000 0.000 0.430
3 Li 0.500 0.500 0.620
4 Tc 0.500 0.500 0.263

=====

Entry 8:
Density functional theory data (SCAN) for Sr2LiTc at its PBEsol-relaxed geometry.

Output
D(E_F): 2.73 states/eV per cell
Calculated formation energy: 660 meV per atom
Space group: No. 44

Lattice parameters (Å, degrees): 6.589 6.589 6.589 149.20 131.60 58.48
Positions (direct):
1 Sr 0.000 0.000 0.000
2 Sr 0.704 0.204 0.500
3 Li 0.299 0.799 0.500
4 Tc 0.473 0.473 0.000

=====

Entry 9:
Density functional theory data (SCAN) for SrLi2Tc at its PBEsol-relaxed geometry.

Output
D(E_F): 1.99 states/eV per cell
Calculated formation energy: 656 meV per atom
Space group: No. 225
Distance to the lowest polymorph of the same formula: 61.6 meV per atom

Lattice parameters (Å, degrees): 4.845 4.845 4.845 60.00 60.00 60.00
Positions (direct):
1 Sr 0.000 0.000 0.000
2 Li 0.250 0.250 0.250
3 Li 0.750 0.750 0.750
4 Tc 0.500 0.500 0.500

=====

Entry 10:
Density functional theory data (SCAN) for SrLi2Tc at its PBEsol-relaxed geometry.

Output
D(E_F): 3.77 states/eV per cell
Calculated formation energy: 904 meV per atom
Space group: No. 166
Distance to the lowest polymorph of the same formula: 309.0 meV per atom

Lattice parameters (Å, degrees): 10.813 10.813 10.813 15.39 15.39 15.39
Positions (direct):
1 Sr 0.000 0.000 0.000
2 Li 0.236 0.236 0.236
3 Li 0.764 0.764 0.764
4 Tc 0.500 0.500 0.500

=====

Entry 11:
Density functional theory data (SCAN) for Sr2LiTc2 at its PBEsol-relaxed geometry.

Output
D(E_F): 4.49 states/eV per cell
Calculated formation energy: 440 meV per atom
Space group: No. 139

Lattice parameters (Å, degrees): 11.361 11.361 11.361 162.17 162.17 25.32
Positions (direct):
1 Sr 0.129 0.129 0.000
2 Sr 0.871 0.871 0.000
3 Li 0.500 0.500 0.000
4 Tc 0.250 0.750 0.500
5 Tc 0.750 0.250 0.500

=====

Entry 12:
Density functional theory data (SCAN) for Sr2LiTc at its PBEsol-relaxed geometry.

Output
D(E_F): 2.73 states/eV per cell
Calculated formation energy: 617 meV per atom
Space group: No. 123

Lattice parameters (Å, degrees): 3.527 3.527 9.390 90.00 90.00 90.00
Positions (direct):
1 Sr 0.000 0.000 0.204
2 Sr 0.000 0.000 0.796
3 Li 0.500 0.500 0.500
4 Tc 0.500 0.500 0.000

=====

Entry 13:
Density functional theory data (SCAN) for SrLi2Tc at its PBEsol-relaxed geometry.

Output
D(E_F): 2.60 states/eV per cell
Calculated formation energy: 775 meV per atom
Space group: No. 160
Distance to the lowest polymorph of the same formula: 180.1 meV per atom

Lattice parameters (Å, degrees): 10.607 10.607 10.607 16.29 16.29 16.29
Positions (direct):
1 Sr 0.000 0.000 0.000
2 Li 0.518 0.518 0.518
3 Li 0.767 0.767 0.767
4 Tc 0.253 0.253 0.253

=====

Entry 14:
Density functional theory data (SCAN) for SrLi2Te at its PBEsol-relaxed geometry.

Output
D(E_F): 1.99 states/eV per cell
E_tot: -16.60 eV/atom
Space group: No. 119

Lattice parameters (Å, degrees): 5.859 5.859 5.859 132.89 132.89 68.83
Positions (direct):
1 Sr 0.000 0.000 0.000
2 Li 0.250 0.750 0.500
3 Li 0.500 0.500 0.000
4 Te 0.750 0.250 0.500

=====

Entry 15:
Density functional theory data (SCAN) for Sr4LiTe at its PBEsol-relaxed geometry.

Output
D(E_F): 6.33 states/eV per cell
E_tot: -21.29 eV/atom
Space group: No. 216

Lattice parameters (Å, degrees): 7.208 7.208 7.208 60.00 60.00 60.00
Positions (direct):
1 Sr 0.124 0.124 0.124
2 Sr 0.124 0.124 0.627
3 Sr 0.124 0.627 0.124
4 Sr 0.627 0.124 0.124
5 Li 0.500 0.500 0.500
6 Te 0.750 0.750 0.750

=====

Entry 16:
Density functional theory data (SCAN) for Sr2LiTi2 at its PBEsol-relaxed geometry.

Output
D(E_F): 5.15 states/eV per cell
Calculated formation energy: 475 meV per atom
Space group: No. 139

Lattice parameters (Å, degrees): 11.246 11.246 11.246 161.14 161.14 26.80
Positions (direct):
1 Sr 0.113 0.113 0.000
2 Sr 0.887 0.887 0.000
3 Li 0.500 0.500 0.000
4 Ti 0.250 0.750 0.500
5 Ti 0.750 0.250 0.500

=====

Entry 17:
Density functional theory data (SCAN) for SrLiTl2 at its PBEsol-relaxed geometry.

Output
D(E_F): 1.95 states/eV per cell
Calculated formation energy: -368 meV per atom
Space group: No. 65

Lattice parameters (Å, degrees): 5.343 5.343 3.918 90.00 90.00 91.02
Positions (direct):
1 Sr 0.000 0.000 0.000
2 Li 0.500 0.500 0.000
3 Tl 0.000 0.500 0.500
4 Tl 0.500 0.000 0.500

=====

Entry 18:
Density functional theory data (SCAN) for SrLiTl2 at its PBEsol-relaxed geometry.

Output
D(E_F): 2.21 states/eV per cell
Calculated formation energy: -494 meV per atom
Space group: No. 166

Lattice parameters (Å, degrees): 6.295 6.295 6.295 44.79 44.79 44.79
Positions (direct):
1 Sr 0.000 0.000 0.000
2 Li 0.500 0.500 0.500
3 Tl 0.213 0.213 0.213
4 Tl 0.787 0.787 0.787

=====

Entry 19:
Density functional theory data (SCAN) for Sr2Li2Tl at its PBEsol-relaxed geometry.

Output
D(E_F): 6.36 states/eV per cell
Calculated formation energy: -184 meV per atom
Space group: No. 127
Distance to the lowest polymorph of the same formula: 12.1 meV per atom

Lattice parameters (Å, degrees): 7.991 7.991 4.736 90.00 90.00 90.00
Positions (direct):
1 Sr 0.191 0.309 0.000
2 Sr 0.309 0.809 0.000
3 Sr 0.691 0.191 0.000
4 Sr 0.809 0.691 0.000
5 Li 0.123 0.623 0.500
6 Li 0.377 0.123 0.500
7 Li 0.623 0.877 0.500
8 Li 0.877 0.377 0.500
9 Tl 0.000 0.000 0.500
10 Tl 0.500 0.500 0.500

=====

Entry 20:
Density functional theory data (SCAN) for Sr2Li2Tl at its PBEsol-relaxed geometry.

Output
D(E_F): 3.64 states/eV per cell
Calculated formation energy: -196 meV per atom
Space group: No. 139
Distance to the lowest polymorph of the same formula: 0.0 meV per atom

Lattice parameters (Å, degrees): 10.624 10.624 10.624 158.48 158.48 30.62
Positions (direct):
1 Sr 0.099 0.099 0.000
2 Sr 0.901 0.901 0.000
3 Li 0.250 0.750 0.500
4 Li 0.750 0.250 0.500
5 Tl 0.500 0.500 0.000

=====

Number 1: total moment 0.000 Bohr magnetons per cell. Number 2: total moment 0.000 Bohr magnetons per cell. Number 3: total moment 0.195 Bohr magnetons per cell. Number 4: total moment 1.880 Bohr magnetons per cell. Number 5: total moment 0.000 Bohr magnetons per cell. Number 6: total moment 0.000 Bohr magnetons per cell. Number 7: total moment 2.038 Bohr magnetons per cell. Number 8: total moment 1.752 Bohr magnetons per cell. Number 9: total moment 2.430 Bohr magnetons per cell. Number 10: total moment 0.743 Bohr magnetons per cell. Number 11: total moment 0.900 Bohr magnetons per cell. Number 12: total moment 1.711 Bohr magnetons per cell. Number 13: total moment 1.157 Bohr magnetons per cell. Number 14: total moment 0.000 Bohr magnetons per cell. Number 15: total moment 0.004 Bohr magnetons per cell. Number 16: total moment 1.996 Bohr magnetons per cell. Number 17: total moment 0.000 Bohr magnetons per cell. Number 18: total moment 0.000 Bohr magnetons per cell. Number 19: total moment 0.000 Bohr magnetons per cell. Number 20: total moment 0.194 Bohr magnetons per cell.